# LiCd2B2Rh5 | Alexandria via LeMat-Bulk | GGA-PBE | optimized geometry
data_LiCd2B2Rh5
_space_group_name_H-M_alt 'P 4/m b m'
_space_group_IT_number 127
_space_group_name_Hall '-P 4 2ab'
_cell_length_a 9.566
_cell_length_b 9.566
_cell_length_c 2.923
_cell_angle_alpha 90.00
_cell_angle_beta 90.00
_cell_angle_gamma 90.00
loop_
_atom_site_label
_atom_site_type_symbol
_atom_site_fract_x
_atom_site_fract_y
_atom_site_fract_z
_atom_site_occupancy
Li1 Li 0.000 0.000 0.000 1
Cd1 Cd 0.179 0.321 0.000 1
B1 B 0.128 0.628 0.000 1
Rh1 Rh 0.000 0.500 0.500 1
Rh2 Rh 0.068 0.782 0.500 1
# N(E_F) in states/eV per atom: 0.514
# E in eV/atom: -5.652
# Total magnetic moment in μB per cell: 0.000
# ΔH_f (0 K) in kJ/mol of formula units: -257